A relaxed Cs2VF5 crystal, computed with GGA+U.

Cell and atoms, written as CIF:
```
data_Cs2VF5
_chemical_formula_sum 'Cs4 V2 F10'
_symmetry_space_group_name_H-M 'I 4 m m'
_symmetry_Int_Tables_number 107
_symmetry_space_group_name_Hall 'I 4 -2'
_cell_length_a 6.7128
_cell_length_b 6.7128
_cell_length_c 8.5300
_cell_angle_alpha 90.00
_cell_angle_beta 90.00
_cell_angle_gamma 90.00
loop_
_atom_site_label
_atom_site_fract_x
_atom_site_fract_y
_atom_site_fract_z
_atom_site_occupancy
Cs1 0.0000 0.5000 0.0000 1
V1 0.0000 0.0000 0.2628 1
F1 0.0000 0.0000 0.4880 1
F2 0.2026 0.2026 0.2351 1
```

## Properties
Total magnetic moment in Bohr magnetons per cell: 4.00
Total energy in eV per atom: -5.125